Record 1
# Nb6CrIn3 (PBE, relaxed)
# * mass density: 8.266 Mg/m³
# * calculated formation energy: 0.33 eV per atom
data_Nb6CrIn3
_chemical_formula_sum 'Nb12 Cr2 In6'
_cell_length_a 10.082
_cell_length_b 5.354
_cell_length_c 7.429
_cell_angle_alpha 90.00
_cell_angle_beta 107.14
_cell_angle_gamma 90.00
_space_group_name_H-M_alt 'C 1 2/m 1'
_space_group_IT_number 12
loop_
_space_group_symop_operation_xyz
'x,y,z'
'-x,-y,-z'
'-x,y,-z'
'x,-y,z'
'x+1/2,y+1/2,z'
'-x+1/2,-y+1/2,-z'
'-x+1/2,y+1/2,-z'
'x+1/2,-y+1/2,z'
loop_
_atom_site_label
_atom_site_fract_x
_atom_site_fract_y
_atom_site_fract_z
Nb1 0.152 0.244 0.322
Nb2 0.155 0.000 0.927
Cr1 0.000 0.000 0.500
In1 0.000 0.500 0.000
In2 0.105 0.500 0.684


Record 2
# CrSbBr2 (PBE, relaxed)
# * ΔE_f (raw): -0.52 eV per formula unit
# * excess energy over the best structure of this formula in the dataset: 0.048 eV/atom
# * mass density: 3.993 Mg/m³
data_CrSbBr2
_chemical_formula_sum 'Cr2 Sb2 Br4'
_cell_length_a 3.453
_cell_length_b 5.479
_cell_length_c 14.665
_cell_angle_alpha 90.00
_cell_angle_beta 90.00
_cell_angle_gamma 90.00
_space_group_name_H-M_alt 'I m m 2'
_space_group_IT_number 44
loop_
_space_group_symop_operation_xyz
'x,y,z'
'-x,-y,z'
'-x,y,z'
'x,-y,z'
'x+1/2,y+1/2,z+1/2'
'-x+1/2,-y+1/2,z+1/2'
'-x+1/2,y+1/2,z+1/2'
'x+1/2,-y+1/2,z+1/2'
loop_
_atom_site_label
_atom_site_fract_x
_atom_site_fract_y
_atom_site_fract_z
Cr1 0.000 0.000 0.000
Sb1 0.000 0.500 0.344
Br1 0.000 0.000 0.399
Br2 0.000 0.500 0.620


Record 3
# Pr3AsPN (PBE, relaxed)
# * ΔE_f (raw): -7.71 eV per formula unit
# * mass density: 5.371 Mg/m³
data_Pr3AsPN
_chemical_formula_sum 'Pr6 As2 P2 N2'
_cell_length_a 8.628
_cell_length_b 4.194
_cell_length_c 9.415
_cell_angle_alpha 90.00
_cell_angle_beta 99.93
_cell_angle_gamma 90.00
_space_group_name_H-M_alt 'P 1 21/m 1'
_space_group_IT_number 11
loop_
_space_group_symop_operation_xyz
'x,y,z'
'-x,-y,-z'
'-x,y+1/2,-z'
'x,-y+1/2,z'
loop_
_atom_site_label
_atom_site_fract_x
_atom_site_fract_y
_atom_site_fract_z
Pr1 0.092 0.250 0.351
Pr2 0.332 0.250 0.991
Pr3 0.396 0.750 0.659
As1 0.324 0.750 0.293
P1 0.151 0.250 0.656
N1 0.407 0.750 0.902


Record 4
# Ce2BeTl (PBE, relaxed)
# * excess energy over the best structure of this formula in the dataset: 0.599 eV/atom
# * mass density: 8.385 Mg/m³
# * calculated formation energy: 0.59 eV per atom
data_Ce2BeTl
_chemical_formula_sum 'Ce6 Be3 Tl3'
_cell_length_a 3.0898
_cell_length_b 3.0898
_cell_length_c 35.4707
_cell_angle_alpha 90.00
_cell_angle_beta 90.00
_cell_angle_gamma 120.00
_space_group_name_H-M_alt 'R -3 m'
_space_group_IT_number 166
_space_group_name_Hall '-R 3 2"'
loop_
_atom_site_label
_atom_site_fract_x
_atom_site_fract_y
_atom_site_fract_z
Ce1 0.0000 0.0000 0.0840
Be1 0.0000 0.0000 0.0000
Tl1 0.0000 0.0000 0.5000


Record 5
# LaHo2Hg6 (PBE, relaxed)
# * mass density: 12.323 Mg/m³
# * calculated formation energy: -0.40 eV per atom
data_LaHo2Hg6
_chemical_formula_sum 'La1 Ho2 Hg6'
_cell_length_a 8.6697
_cell_length_b 8.6697
_cell_length_c 3.4618
_cell_angle_alpha 90.00
_cell_angle_beta 90.00
_cell_angle_gamma 120.00
_space_group_name_H-M_alt 'P 6/m m m'
_space_group_IT_number 191
_space_group_name_Hall '-P 6 2'
loop_
_atom_site_label
_atom_site_fract_x
_atom_site_fract_y
_atom_site_fract_z
La1 0.0000 0.0000 0.0000
Ho1 0.3333 0.6667 0.0000
Hg1 0.0000 0.3368 0.5000


Record 6
# BaGa4Te7 (PBE, relaxed)
# * ΔE_f (raw): -6.86 eV per formula unit
# * mass density: 5.200 Mg/m³
data_BaGa4Te7
_chemical_formula_sum 'Ba2 Ga8 Te14'
_cell_length_a 16.876
_cell_length_b 7.164
_cell_length_c 6.917
_cell_angle_alpha 90.00
_cell_angle_beta 90.00
_cell_angle_gamma 90.00
_space_group_name_H-M_alt 'P m n 21'
_space_group_IT_number 31
loop_
_space_group_symop_operation_xyz
'x,y,z'
'-x+1/2,-y,z+1/2'
'-x,y,z'
'x+1/2,-y,z+1/2'
loop_
_atom_site_label
_atom_site_fract_x
_atom_site_fract_y
_atom_site_fract_z
Ba1 0.000 0.131 0.000
Ga1 0.122 0.663 0.695
Ga2 0.249 0.175 0.680
Te1 0.000 0.857 0.555
Te2 0.111 0.313 0.578
Te3 0.111 0.696 0.075
Te4 0.241 0.185 0.072


Record 7
# BeCrSe2 (PBE, relaxed)
# * ΔE_f (raw): -0.38 eV per formula unit
# * mass density: 5.386 Mg/m³
data_BeCrSe2
_chemical_formula_sum 'Be1 Cr1 Se2'
_cell_length_a 3.132
_cell_length_b 3.132
_cell_length_c 6.882
_cell_angle_alpha 90.00
_cell_angle_beta 90.00
_cell_angle_gamma 90.00
_space_group_name_H-M_alt 'P 4 m m'
_space_group_IT_number 99
loop_
_space_group_symop_operation_xyz
'x,y,z'
'-y,x,z'
'-x,-y,z'
'y,-x,z'
'-x,y,z'
'y,x,z'
'x,-y,z'
'-y,-x,z'
loop_
_atom_site_label
_atom_site_fract_x
_atom_site_fract_y
_atom_site_fract_z
Be1 0.000 0.000 0.000
Cr1 0.500 0.500 0.189
Se1 0.000 0.000 0.352
Se2 0.500 0.500 0.842


Record 8
# PmSm12In4O3 (PBE, relaxed)
# * ΔE_f (raw): -15.80 eV per formula unit
# * mass density: 7.847 Mg/m³
data_PmSm12In4O3
_chemical_formula_sum 'Pm2 Sm24 In8 O6'
_cell_length_a 10.131
_cell_length_b 10.131
_cell_length_c 10.131
_cell_angle_alpha 90.00
_cell_angle_beta 90.00
_cell_angle_gamma 90.00
_space_group_name_H-M_alt 'I m -3 m'
_space_group_IT_number 229
_space_group_name_Hall '-I 4 2 3'
loop_
_atom_site_label
_atom_site_fract_x
_atom_site_fract_y
_atom_site_fract_z
Pm1 0.000 0.000 0.000
Sm1 0.000 0.000 0.273
Sm2 0.000 0.250 0.500
In1 0.250 0.250 0.250
O1 0.000 0.000 0.500


Record 9
# BAsPS2 (PBE, relaxed)
# * ΔE_f (raw): 3.87 eV per formula unit
# * excess energy over the best structure of this formula in the dataset: 0.000 eV/atom
# * mass density: 4.117 Mg/m³
data_BAsPS2
_chemical_formula_sum 'B1 As1 P1 S2'
_cell_length_a 4.155
_cell_length_b 4.155
_cell_length_c 4.226
_cell_angle_alpha 90.00
_cell_angle_beta 90.00
_cell_angle_gamma 90.00
_space_group_name_H-M_alt 'P 4/m m m'
_space_group_IT_number 123
_space_group_name_Hall '-P 4 2'
loop_
_atom_site_label
_atom_site_fract_x
_atom_site_fract_y
_atom_site_fract_z
B1 0.000 0.000 0.000
As1 0.500 0.500 0.500
P1 0.000 0.000 0.500
S1 0.000 0.500 0.000


Record 10
# SrPrPb2 (PBE, relaxed)
# * mass density: 8.179 Mg/m³
# * calculated formation energy: -0.48 eV per atom
data_SrPrPb2
_chemical_formula_sum 'Sr1 Pr1 Pb2'
_cell_length_a 5.348
_cell_length_b 5.348
_cell_length_c 4.565
_cell_angle_alpha 90.00
_cell_angle_beta 90.00
_cell_angle_gamma 90.00
_space_group_name_H-M_alt 'P 4/m m m'
_space_group_IT_number 123
_space_group_name_Hall '-P 4 2'
loop_
_atom_site_label
_atom_site_fract_x
_atom_site_fract_y
_atom_site_fract_z
Sr1 0.000 0.000 0.000
Pr1 0.500 0.500 0.000
Pb1 0.000 0.500 0.500


Record 11
# NaInAgSb (PBE, relaxed)
# * ΔE_f (raw): -0.36 eV per formula unit
# * mass density: 6.350 Mg/m³
data_NaInAgSb
_chemical_formula_sum 'Na4 In4 Ag4 Sb4'
_cell_length_a 7.271
_cell_length_b 7.271
_cell_length_c 7.271
_cell_angle_alpha 90.00
_cell_angle_beta 90.00
_cell_angle_gamma 90.00
_space_group_name_H-M_alt 'F -4 3 m'
_space_group_IT_number 216
_space_group_name_Hall 'F -4 2 3'
loop_
_atom_site_label
_atom_site_fract_x
_atom_site_fract_y
_atom_site_fract_z
Na1 0.000 0.000 0.000
In1 0.250 0.250 0.750
Ag1 0.000 0.000 0.500
Sb1 0.250 0.250 0.250


Record 12
# ZrTl2Os (PBE, relaxed)
# * excess energy over the best structure of this formula in the dataset: 0.376 eV/atom
# * mass density: 13.369 Mg/m³
# * calculated formation energy: 0.54 eV per atom
data_ZrTl2Os
_chemical_formula_sum 'Zr2 Tl4 Os2'
_cell_length_a 6.017
_cell_length_b 10.236
_cell_length_c 3.321
_cell_angle_alpha 90.00
_cell_angle_beta 123.04
_cell_angle_gamma 90.00
_space_group_name_H-M_alt 'C 1 2/m 1'
_space_group_IT_number 12
loop_
_space_group_symop_operation_xyz
'x,y,z'
'-x,-y,-z'
'-x,y,-z'
'x,-y,z'
'x+1/2,y+1/2,z'
'-x+1/2,-y+1/2,-z'
'-x+1/2,y+1/2,-z'
'x+1/2,-y+1/2,z'
loop_
_atom_site_label
_atom_site_fract_x
_atom_site_fract_y
_atom_site_fract_z
Zr1 0.000 0.000 0.000
Tl1 0.250 0.250 0.500
Os1 0.000 0.500 0.000